No. 1
Density functional theory data (PBE-GGA) for an optimized crystal structure of La3PmY6Tm2.

Cell lengths 6.253, 10.831, 11.918 Å; angles 90.00, 100.07, 90.00 degrees
Space group C2/m (No. 12)
Inequivalent atoms, fractional coordinates:
La (0.000, 0.000, 0.000) x2
La (0.000, 0.333, 0.000) x4
Pm (0.000, 0.500, 0.500) x2
Y (0.247, 0.000, 0.745) x4
Y (0.248, 0.333, 0.745) x8
Tm (0.000, 0.167, 0.500) x4

Output
Energy relative to the elements in kJ/mol of formula units: 25
Spin magnetization in μB/f.u.: 0.00
Density of states at the Fermi level in states/eV/f.u.: 17.2

=====

No. 2
Density functional theory data (PBE-GGA) for an optimized crystal structure of LaPm2Y6Tm3.

Cell lengths 6.209, 10.747, 11.840 Å; angles 90.00, 100.05, 90.00 degrees
Space group C2/m (No. 12)
Inequivalent atoms, fractional coordinates:
La (0.000, 0.000, 0.000) x2
Pm (0.000, 0.333, 0.000) x4
Y (0.247, 0.333, 0.745) x8
Y (0.248, 0.000, 0.745) x4
Tm (0.000, 0.167, 0.500) x4
Tm (0.000, 0.500, 0.500) x2

Output
Energy relative to the elements in kJ/mol of formula units: 29
Spin magnetization in μB/f.u.: 0.00
Density of states at the Fermi level in states/eV/f.u.: 17.9

=====

No. 3
Density functional theory data (PBE-GGA) for an optimized crystal structure of La6Pm2YTm.

Cell lengths 9.861, 15.360, 9.311 Å; angles 90.00, 91.79, 90.00 degrees
Space group C2/c (No. 15)
Inequivalent atoms, fractional coordinates:
La (0.075, 0.142, 0.099) x8
La (0.075, 0.349, 0.912) x8
La (0.243, 0.281, 0.320) x8
Pm (0.248, 0.455, 0.562) x8
Y (0.000, 0.074, 0.750) x4
Tm (0.000, 0.439, 0.250) x4

Output
Energy relative to the elements in kJ/mol of formula units: 110
Spin magnetization in μB/f.u.: 0.00
Density of states at the Fermi level in states/eV/f.u.: 12.1